<P>
# LiDySeO GGA-PBE relaxed
data_LiDySeO
_chemical_formula_sum 'Li2 Dy2 Se2 O2'
_symmetry_space_group_name_H-M 'P m c 21'
_symmetry_Int_Tables_number 26
_cell_length_a 3.8264
_cell_length_b 6.2287
_cell_length_c 6.6563
_cell_angle_alpha 90.00
_cell_angle_beta 90.00
_cell_angle_gamma 90.00
loop_
_symmetry_equiv_pos_as_xyz
'x,y,z'
'-x,-y,z+1/2'
'-x,y,z'
'x,-y,z+1/2'
loop_
_atom_site_label
_atom_site_fract_x
_atom_site_fract_y
_atom_site_fract_z
Li1 0.0000 0.1481 0.0000
Dy1 0.5000 0.4677 0.3070
Se1 0.0000 0.2668 0.5715
O1 0.5000 0.2770 0.0345
# total moment: 0.001 μB/f.u.
# ρ: 5.54 g cm⁻³

<Q>
# LiDySeO GGA-PBE relaxed
data_LiDySeO
_chemical_formula_sum 'Li4 Dy4 Se4 O4'
_symmetry_space_group_name_H-M 'P 1 21 1'
_symmetry_Int_Tables_number 4
_cell_length_a 5.5228
_cell_length_b 5.5235
_cell_length_c 10.1911
_cell_angle_alpha 90.00
_cell_angle_beta 103.79
_cell_angle_gamma 90.00
loop_
_symmetry_equiv_pos_as_xyz
'x,y,z'
'-x,y+1/2,-z'
loop_
_atom_site_label
_atom_site_fract_x
_atom_site_fract_y
_atom_site_fract_z
Li1 0.0262 0.0000 0.0867
Li2 0.4300 0.9390 0.9146
Dy1 0.0512 0.2680 0.6108
Dy2 0.4488 0.2683 0.3893
Se1 0.0631 0.4762 0.1687
Se2 0.4394 0.4744 0.8315
O1 0.2501 0.0204 0.5000
O2 0.2500 0.5218 0.5002
# total moment: 0.001 μB/f.u.
# ρ: 5.82 g cm⁻³

<R>
# LiDySeO GGA-PBE relaxed
data_LiDySeO
_chemical_formula_sum 'Li2 Dy2 Se2 O2'
_symmetry_space_group_name_H-M 'P 4/n m m'
_symmetry_Int_Tables_number 129
_cell_length_a 3.9061
_cell_length_b 3.9061
_cell_length_c 8.8228
_cell_angle_alpha 90.00
_cell_angle_beta 90.00
_cell_angle_gamma 90.00
loop_
_symmetry_equiv_pos_as_xyz
'x,y,z'
'-x,-y,-z'
'-y+1/2,x,z'
'y+1/2,-x,-z'
'-x+1/2,-y+1/2,z'
'x+1/2,y+1/2,-z'
'y,-x+1/2,z'
'-y,x+1/2,-z'
'x+1/2,-y,-z'
'-x+1/2,y,z'
'-y,-x,-z'
'y,x,z'
'-x,y+1/2,-z'
'x,-y+1/2,z'
'y+1/2,x+1/2,-z'
'-y+1/2,-x+1/2,z'
loop_
_atom_site_label
_atom_site_fract_x
_atom_site_fract_y
_atom_site_fract_z
Li1 0.2500 0.7500 0.0000
Dy1 0.2500 0.2500 0.3748
Se1 0.2500 0.2500 0.8195
O1 0.2500 0.7500 0.5000
# total moment: 0.000 μB/f.u.
# ρ: 6.52 g cm⁻³

<S>
# LiDySeO GGA-PBE relaxed
data_LiDySeO
_chemical_formula_sum 'Li4 Dy4 Se4 O4'
_symmetry_space_group_name_H-M 'P 1 21/c 1'
_symmetry_Int_Tables_number 14
_cell_length_a 6.2797
_cell_length_b 7.2862
_cell_length_c 6.2682
_cell_angle_alpha 90.00
_cell_angle_beta 101.69
_cell_angle_gamma 90.00
loop_
_symmetry_equiv_pos_as_xyz
'x,y,z'
'-x,-y,-z'
'-x,y+1/2,-z+1/2'
'x,-y+1/2,z+1/2'
loop_
_atom_site_label
_atom_site_fract_x
_atom_site_fract_y
_atom_site_fract_z
Li1 0.1155 0.2383 0.4687
Dy1 0.4309 0.6171 0.7624
Se1 0.1682 0.5697 0.3138
O1 0.3986 0.1658 0.3989
# total moment: 0.002 μB/f.u.
# ρ: 6.25 g cm⁻³

Which of them is the least stable? Correct choice: <P>.

<P>
# LiDyTeO GGA-PBE relaxed
data_LiDyTeO
_chemical_formula_sum 'Li4 Dy4 Te4 O4'
_symmetry_space_group_name_H-M 'P 1 21/c 1'
_symmetry_Int_Tables_number 14
_cell_length_a 6.6867
_cell_length_b 7.4743
_cell_length_c 6.4701
_cell_angle_alpha 90.00
_cell_angle_beta 100.76
_cell_angle_gamma 90.00
loop_
_symmetry_equiv_pos_as_xyz
'x,y,z'
'-x,-y,-z'
'-x,y+1/2,-z+1/2'
'x,-y+1/2,z+1/2'
loop_
_atom_site_label
_atom_site_fract_x
_atom_site_fract_y
_atom_site_fract_z
Li1 0.1403 0.2222 0.4638
Dy1 0.4408 0.6175 0.7724
Te1 0.1636 0.5636 0.3106
O1 0.4106 0.1620 0.3992
# total moment: 0.000 μB/f.u.
# ρ: 6.55 g cm⁻³

<Q>
# LiDyTeO GGA-PBE relaxed
data_LiDyTeO
_chemical_formula_sum 'Li2 Dy2 Te2 O2'
_symmetry_space_group_name_H-M 'P m c 21'
_symmetry_Int_Tables_number 26
_cell_length_a 3.9693
_cell_length_b 6.6221
_cell_length_c 6.8507
_cell_angle_alpha 90.00
_cell_angle_beta 90.00
_cell_angle_gamma 90.00
loop_
_symmetry_equiv_pos_as_xyz
'x,y,z'
'-x,-y,z+1/2'
'-x,y,z'
'x,-y,z+1/2'
loop_
_atom_site_label
_atom_site_fract_x
_atom_site_fract_y
_atom_site_fract_z
Li1 0.0000 0.1791 0.0000
Dy1 0.5000 0.4835 0.2794
Te1 0.0000 0.2429 0.5394
O1 0.5000 0.2971 0.0184
# total moment: 0.001 μB/f.u.
# ρ: 5.77 g cm⁻³

<R>
# LiDyTeO GGA-PBE relaxed
data_LiDyTeO
_chemical_formula_sum 'Li2 Dy2 Te2 O2'
_symmetry_space_group_name_H-M 'P 4/n m m'
_symmetry_Int_Tables_number 129
_cell_length_a 4.0366
_cell_length_b 4.0366
_cell_length_c 9.3627
_cell_angle_alpha 90.00
_cell_angle_beta 90.00
_cell_angle_gamma 90.00
loop_
_symmetry_equiv_pos_as_xyz
'x,y,z'
'-x,-y,-z'
'-y+1/2,x,z'
'y+1/2,-x,-z'
'-x+1/2,-y+1/2,z'
'x+1/2,y+1/2,-z'
'y,-x+1/2,z'
'-y,x+1/2,-z'
'x+1/2,-y,-z'
'-x+1/2,y,z'
'-y,-x,-z'
'y,x,z'
'-x,y+1/2,-z'
'x,-y+1/2,z'
'y+1/2,x+1/2,-z'
'-y+1/2,-x+1/2,z'
loop_
_atom_site_label
_atom_site_fract_x
_atom_site_fract_y
_atom_site_fract_z
Li1 0.2500 0.7500 0.0000
Dy1 0.2500 0.2500 0.3884
Te1 0.2500 0.2500 0.8097
O1 0.2500 0.7500 0.5000
# total moment: 0.002 μB/f.u.
# ρ: 6.81 g cm⁻³

Which of them is the least stable? Correct choice: <Q>.

<P>
# RbLiDy GGA-PBE relaxed
data_RbLiDy
_chemical_formula_sum 'Rb4 Li4 Dy4'
_symmetry_space_group_name_H-M 'F -4 3 m'
_symmetry_Int_Tables_number 216
_symmetry_space_group_name_Hall 'F -4 2 3'
_cell_length_a 8.1131
_cell_length_b 8.1131
_cell_length_c 8.1131
_cell_angle_alpha 90.00
_cell_angle_beta 90.00
_cell_angle_gamma 90.00
loop_
_atom_site_label
_atom_site_fract_x
_atom_site_fract_y
_atom_site_fract_z
Rb1 0.0000 0.0000 0.0000
Li1 0.2500 0.2500 0.2500
Dy1 0.2500 0.2500 0.7500
# total moment: 0.035 μB/f.u.
# ρ: 3.17 g cm⁻³

<Q>
# RbLiDy GGA-PBE relaxed
data_RbLiDy
_chemical_formula_sum 'Rb4 Li4 Dy4'
_symmetry_space_group_name_H-M 'F -4 3 m'
_symmetry_Int_Tables_number 216
_symmetry_space_group_name_Hall 'F -4 2 3'
_cell_length_a 8.0386
_cell_length_b 8.0386
_cell_length_c 8.0386
_cell_angle_alpha 90.00
_cell_angle_beta 90.00
_cell_angle_gamma 90.00
loop_
_atom_site_label
_atom_site_fract_x
_atom_site_fract_y
_atom_site_fract_z
Rb1 0.0000 0.0000 0.0000
Li1 0.2500 0.2500 0.7500
Dy1 0.0000 0.0000 0.5000
# total moment: 0.202 μB/f.u.
# ρ: 3.26 g cm⁻³

Which of them is the least stable? Correct choice: <P>.

<P>
# LiDyZnS3 GGA-PBE relaxed
data_LiDyZnS3
_chemical_formula_sum 'Li4 Dy4 Zn4 S12'
_symmetry_space_group_name_H-M 'C m c m'
_symmetry_Int_Tables_number 63
_symmetry_space_group_name_Hall '-C 2c 2'
_cell_length_a 3.8316
_cell_length_b 12.2656
_cell_length_c 10.5728
_cell_angle_alpha 90.00
_cell_angle_beta 90.00
_cell_angle_gamma 90.00
loop_
_atom_site_label
_atom_site_fract_x
_atom_site_fract_y
_atom_site_fract_z
Li1 0.0000 0.2340 0.2500
Dy1 0.0000 0.0000 0.0000
Zn1 0.0000 0.4748 0.7500
S1 0.0000 0.0908 0.7500
S2 0.0000 0.3589 0.5783
# total moment: 0.001 μB/f.u.
# ρ: 4.43 g cm⁻³

<Q>
# LiDyZnS3 GGA-PBE relaxed
data_LiDyZnS3
_chemical_formula_sum 'Li2 Dy2 Zn2 S6'
_symmetry_space_group_name_H-M 'P 1 21/m 1'
_symmetry_Int_Tables_number 11
_cell_length_a 7.4125
_cell_length_b 3.8674
_cell_length_c 9.6774
_cell_angle_alpha 90.00
_cell_angle_beta 102.60
_cell_angle_gamma 90.00
loop_
_symmetry_equiv_pos_as_xyz
'x,y,z'
'-x,-y,-z'
'-x,y+1/2,-z'
'x,-y+1/2,z'
loop_
_atom_site_label
_atom_site_fract_x
_atom_site_fract_y
_atom_site_fract_z
Li1 0.1701 0.2500 0.1239
Dy1 0.3326 0.7500 0.8467
Zn1 0.0712 0.2500 0.6064
S1 0.0670 0.2500 0.8483
S2 0.2291 0.7500 0.5505
S3 0.4096 0.7500 0.1376
# total moment: 0.002 μB/f.u.
# ρ: 4.06 g cm⁻³

<R>
# LiDyZnS3 GGA-PBE relaxed
data_LiDyZnS3
_chemical_formula_sum 'Li4 Dy4 Zn4 S12'
_symmetry_space_group_name_H-M 'P n m a'
_symmetry_Int_Tables_number 62
_cell_length_a 10.6695
_cell_length_b 3.8797
_cell_length_c 12.3199
_cell_angle_alpha 90.00
_cell_angle_beta 90.00
_cell_angle_gamma 90.00
loop_
_symmetry_equiv_pos_as_xyz
'x,y,z'
'-x,-y,-z'
'-x+1/2,-y,z+1/2'
'x+1/2,y,-z+1/2'
'x+1/2,-y+1/2,-z+1/2'
'-x+1/2,y+1/2,z+1/2'
'-x,y+1/2,-z'
'x,-y+1/2,z'
loop_
_atom_site_label
_atom_site_fract_x
_atom_site_fract_y
_atom_site_fract_z
Li1 0.1364 0.2500 0.0178
Dy1 0.0106 0.2500 0.7324
Zn1 0.2375 0.2500 0.2883
S1 0.0650 0.2500 0.3964
S2 0.0764 0.7500 0.8882
S3 0.2356 0.7500 0.1705
# total moment: 0.000 μB/f.u.
# ρ: 4.31 g cm⁻³

Which of them is the least stable? Correct choice: <P>.

<P>
# SrLiDySe3 GGA-PBE relaxed
data_SrLiDySe3
_chemical_formula_sum 'Sr4 Li4 Dy4 Se12'
_symmetry_space_group_name_H-M 'P n m a'
_symmetry_Int_Tables_number 62
_cell_length_a 13.8363
_cell_length_b 4.1585
_cell_length_c 10.8489
_cell_angle_alpha 90.00
_cell_angle_beta 90.00
_cell_angle_gamma 90.00
loop_
_symmetry_equiv_pos_as_xyz
'x,y,z'
'-x,-y,-z'
'-x+1/2,-y,z+1/2'
'x+1/2,y,-z+1/2'
'x+1/2,-y+1/2,-z+1/2'
'-x+1/2,y+1/2,z+1/2'
'-x,y+1/2,-z'
'x,-y+1/2,z'
loop_
_atom_site_label
_atom_site_fract_x
_atom_site_fract_y
_atom_site_fract_z
Sr1 0.2263 0.2500 0.0325
Li1 0.0061 0.7500 0.0898
Dy1 0.0166 0.2500 0.3329
Se1 0.0982 0.7500 0.8868
Se2 0.1079 0.2500 0.5695
Se3 0.1421 0.7500 0.2470
# total moment: 0.002 μB/f.u.
# ρ: 5.26 g cm⁻³

<Q>
# SrLiDySe3 GGA-PBE relaxed
data_SrLiDySe3
_chemical_formula_sum 'Sr4 Li4 Dy4 Se12'
_symmetry_space_group_name_H-M 'C m c m'
_symmetry_Int_Tables_number 63
_symmetry_space_group_name_Hall '-C 2c 2'
_cell_length_a 4.1633
_cell_length_b 13.5917
_cell_length_c 10.6985
_cell_angle_alpha 90.00
_cell_angle_beta 90.00
_cell_angle_gamma 90.00
loop_
_atom_site_label
_atom_site_fract_x
_atom_site_fract_y
_atom_site_fract_z
Sr1 0.0000 0.2485 0.2500
Li1 0.0000 0.4763 0.7500
Dy1 0.0000 0.0000 0.0000
Se1 0.0000 0.0799 0.7500
Se2 0.0000 0.3632 0.5657
# total moment: 0.002 μB/f.u.
# ρ: 5.42 g cm⁻³

Which of them is the least stable? Correct choice: <P>.

<P>
# LiDyTc GGA-PBE relaxed
data_LiDyTc
_chemical_formula_sum 'Li4 Dy4 Tc4'
_symmetry_space_group_name_H-M 'F -4 3 m'
_symmetry_Int_Tables_number 216
_symmetry_space_group_name_Hall 'F -4 2 3'
_cell_length_a 6.4130
_cell_length_b 6.4130
_cell_length_c 6.4130
_cell_angle_alpha 90.00
_cell_angle_beta 90.00
_cell_angle_gamma 90.00
loop_
_atom_site_label
_atom_site_fract_x
_atom_site_fract_y
_atom_site_fract_z
Li1 0.0000 0.0000 0.0000
Dy1 0.2500 0.2500 0.2500
Tc1 0.0000 0.0000 0.5000
# total moment: 1.073 μB/f.u.
# ρ: 6.74 g cm⁻³

<Q>
# LiDyTc GGA-PBE relaxed
data_LiDyTc
_chemical_formula_sum 'Li4 Dy4 Tc4'
_symmetry_space_group_name_H-M 'F -4 3 m'
_symmetry_Int_Tables_number 216
_symmetry_space_group_name_Hall 'F -4 2 3'
_cell_length_a 6.1591
_cell_length_b 6.1591
_cell_length_c 6.1591
_cell_angle_alpha 90.00
_cell_angle_beta 90.00
_cell_angle_gamma 90.00
loop_
_atom_site_label
_atom_site_fract_x
_atom_site_fract_y
_atom_site_fract_z
Li1 0.0000 0.0000 0.0000
Dy1 0.2500 0.2500 0.7500
Tc1 0.2500 0.2500 0.2500
# total moment: 1.039 μB/f.u.
# ρ: 7.60 g cm⁻³

Which of them is the least stable? Correct choice: <P>.

<P>
# LiDyZnTe3 GGA-PBE relaxed
data_LiDyZnTe3
_chemical_formula_sum 'Li2 Dy2 Zn2 Te6'
_symmetry_space_group_name_H-M 'P 1 21/m 1'
_symmetry_Int_Tables_number 11
_cell_length_a 8.4544
_cell_length_b 4.2783
_cell_length_c 10.4062
_cell_angle_alpha 90.00
_cell_angle_beta 104.27
_cell_angle_gamma 90.00
loop_
_symmetry_equiv_pos_as_xyz
'x,y,z'
'-x,-y,-z'
'-x,y+1/2,-z'
'x,-y+1/2,z'
loop_
_atom_site_label
_atom_site_fract_x
_atom_site_fract_y
_atom_site_fract_z
Li1 0.1867 0.2500 0.1386
Dy1 0.3230 0.7500 0.8497
Zn1 0.0826 0.2500 0.5969
Te1 0.0590 0.2500 0.8492
Te2 0.2440 0.7500 0.5364
Te3 0.4216 0.7500 0.1577
# total moment: 0.001 μB/f.u.
# ρ: 5.62 g cm⁻³

<Q>
# LiDyZnTe3 GGA-PBE relaxed
data_LiDyZnTe3
_chemical_formula_sum 'Li4 Dy4 Zn4 Te12'
_symmetry_space_group_name_H-M 'P n m a'
_symmetry_Int_Tables_number 62
_cell_length_a 12.9763
_cell_length_b 4.2750
_cell_length_c 12.6073
_cell_angle_alpha 90.00
_cell_angle_beta 90.00
_cell_angle_gamma 90.00
loop_
_symmetry_equiv_pos_as_xyz
'x,y,z'
'-x,-y,-z'
'-x+1/2,-y,z+1/2'
'x+1/2,y,-z+1/2'
'x+1/2,-y+1/2,-z+1/2'
'-x+1/2,y+1/2,z+1/2'
'-x,y+1/2,-z'
'x,-y+1/2,z'
loop_
_atom_site_label
_atom_site_fract_x
_atom_site_fract_y
_atom_site_fract_z
Li1 0.1194 0.2500 0.0119
Dy1 0.0483 0.2500 0.6766
Zn1 0.2373 0.2500 0.2855
Te1 0.0687 0.7500 0.8584
Te2 0.0886 0.2500 0.4246
Te3 0.2148 0.7500 0.1568
# total moment: 0.000 μB/f.u.
# ρ: 5.87 g cm⁻³

<R>
# LiDyZnTe3 GGA-PBE relaxed
data_LiDyZnTe3
_chemical_formula_sum 'Li4 Dy4 Zn4 Te12'
_symmetry_space_group_name_H-M 'C m c m'
_symmetry_Int_Tables_number 63
_symmetry_space_group_name_Hall '-C 2c 2'
_cell_length_a 4.2176
_cell_length_b 14.3154
_cell_length_c 11.4498
_cell_angle_alpha 90.00
_cell_angle_beta 90.00
_cell_angle_gamma 90.00
loop_
_atom_site_label
_atom_site_fract_x
_atom_site_fract_y
_atom_site_fract_z
Li1 0.0000 0.2058 0.2500
Dy1 0.0000 0.0000 0.0000
Zn1 0.0000 0.4773 0.7500
Te1 0.0000 0.0943 0.7500
Te2 0.0000 0.3560 0.5726
# total moment: 0.002 μB/f.u.
# ρ: 5.93 g cm⁻³

Which of them is the least stable? Correct choice: <Q>.

<P>
# LiDyW GGA-PBE relaxed
data_LiDyW
_chemical_formula_sum 'Li4 Dy4 W4'
_symmetry_space_group_name_H-M 'F -4 3 m'
_symmetry_Int_Tables_number 216
_symmetry_space_group_name_Hall 'F -4 2 3'
_cell_length_a 6.6429
_cell_length_b 6.6429
_cell_length_c 6.6429
_cell_angle_alpha 90.00
_cell_angle_beta 90.00
_cell_angle_gamma 90.00
loop_
_atom_site_label
_atom_site_fract_x
_atom_site_fract_y
_atom_site_fract_z
Li1 0.0000 0.0000 0.0000
Dy1 0.2500 0.2500 0.2500
W1 0.0000 0.0000 0.5000
# total moment: 2.516 μB/f.u.
# ρ: 8.00 g cm⁻³

<Q>
# LiDyW GGA-PBE relaxed
data_LiDyW
_chemical_formula_sum 'Li4 Dy4 W4'
_symmetry_space_group_name_H-M 'F -4 3 m'
_symmetry_Int_Tables_number 216
_symmetry_space_group_name_Hall 'F -4 2 3'
_cell_length_a 6.2442
_cell_length_b 6.2442
_cell_length_c 6.2442
_cell_angle_alpha 90.00
_cell_angle_beta 90.00
_cell_angle_gamma 90.00
loop_
_atom_site_label
_atom_site_fract_x
_atom_site_fract_y
_atom_site_fract_z
Li1 0.0000 0.0000 0.0000
Dy1 0.2500 0.2500 0.7500
W1 0.2500 0.2500 0.2500
# total moment: 0.368 μB/f.u.
# ρ: 9.64 g cm⁻³

Which of them is the least stable? Correct choice: <P>.